1.
Below is crystalline Ba2Li2Cd at its relaxed geometry, with properties calculated at the PBE level.

The structure in POSCAR format:
```
Ba2Li2Cd
1.0
8.0777 0.0000 0.0000
0.0000 8.0777 0.0000
0.0000 0.0000 5.4365
Cd Ba Li
2 4 4
direct
0.0000 0.0000 0.0000
0.5000 0.5000 0.0000
0.8110 0.3110 0.5000
0.1890 0.6890 0.5000
0.3110 0.1890 0.5000
0.6890 0.8110 0.5000
0.8738 0.6262 0.0000
0.3738 0.8738 0.0000
0.6262 0.1262 0.0000
0.1262 0.3738 0.0000
```

E (eV per atom): -1.758
Theoretical density (Mg/m³): 3.75
Formation enthalpy at 0 K (eV/atom): -0.041
Fermi-level density of states (states/eV/cell): 10.4
Relative energy among the computed polymorphs (meV/atom): 79

---

2.
Below is crystalline NaAcCd2O4 at its relaxed geometry, with properties calculated at the PBE level.

The structure in POSCAR format:
```
NaAcCd2O4
1.0
4.9414 0.2690 0.0000
-0.2693 4.9414 0.0000
-2.3360 -2.6052 4.9643
O Cd Ac Na
4 2 1 1
direct
0.1915 0.1915 0.5087
0.6829 0.6829 0.4913
0.4372 0.9371 0.0000
0.9371 0.4372 0.0000
0.6871 0.1871 0.5000
0.1871 0.6871 0.5000
0.9372 0.9372 0.0000
0.4372 0.4372 0.0000
```

Formation energy (no corrections) (eV/atom): -1.761
E (eV per atom): -5.147
Theoretical density (Mg/m³): 7.36
Fermi-level density of states (states/eV/cell): 2.0

---

3.
Below is crystalline Nd2AgSn4Au3 at its relaxed geometry, with properties calculated at the PBE level.

The structure in POSCAR format:
```
Nd2AgSn4Au3
1.0
4.5508 0.0000 0.0000
0.0000 4.5508 0.0000
0.0000 0.0000 11.8013
Au Sn Nd Ag
3 4 2 1
direct
0.0000 0.0000 0.5000
0.0000 0.5000 0.1434
0.5000 0.0000 0.8566
0.5000 0.5000 0.0000
0.0000 0.5000 0.3668
0.0000 0.0000 0.0000
0.5000 0.0000 0.6332
0.0000 0.5000 0.7339
0.5000 0.0000 0.2661
0.5000 0.5000 0.5000
```

E (eV per atom): -4.322
Theoretical density (Mg/m³): 9.93
Formation enthalpy at 0 K (eV/atom): -0.499
Fermi-level density of states (states/eV/cell): 5.2

---

4.
Below is crystalline Na2TcMoN4 at its relaxed geometry, with properties calculated at the PBE level.

The structure in POSCAR format:
```
Na2TcMoN4
1.0
5.9416 0.0000 0.0000
0.0000 6.0917 0.0000
0.0000 0.0000 6.6466
N Na Mo Tc
8 4 2 2
direct
0.2598 0.0100 0.5000
0.4987 0.6548 0.2522
0.9987 0.3452 0.2478
0.7598 0.9900 0.0000
0.2414 0.9916 0.0000
0.9987 0.3452 0.7522
0.4987 0.6548 0.7478
0.7414 0.0084 0.5000
0.5008 0.2631 0.7451
0.5008 0.2631 0.2549
0.0008 0.7369 0.7549
0.0008 0.7369 0.2451
0.0000 0.1843 0.5000
0.5000 0.8157 0.0000
0.9999 0.1918 0.0000
0.4999 0.8082 0.5000
```

Formation energy (no corrections) (eV/atom): -0.228
E (eV per atom): -7.370
Theoretical density (Mg/m³): 4.09
Fermi-level density of states (states/eV/cell): 2.7

---

The highest E belongs to which entry? Ba2Li2Cd